Record 1
Below is a relaxed TlCrP2 crystal, with properties calculated at the GGA-PBE level.

Results
* crystal system: tetragonal
* space group: No. 119
* relative energy among the computed polymorphs: 0.579 eV/atom
* N(E_F): 0.646 states/eV/atom

a = 6.0213 Å, b = 6.0213 Å, c = 6.0213 Å
α = 143.70°, β = 143.70°, γ = 52.27°
Fractional positions:
1 Tl 0.0000 0.0000 0.0000
2 Cr 0.7500 0.2500 0.5000
3 P 0.2500 0.7500 0.5000
4 P 0.5000 0.5000 0.0000

---

Record 2
Below is a relaxed CaMnCo crystal, with properties calculated at the GGA-PBE level.

Results
* crystal system: monoclinic
* space group: No. 6
* relative energy among the computed polymorphs: 0.063 eV/atom
* N(E_F): 0.898 states/eV/atom

a = 4.9086 Å, b = 4.3018 Å, c = 5.7009 Å
α = 90.00°, β = 115.23°, γ = 90.00°
Fractional positions:
1 Ca 0.0000 0.0000 0.0000
2 Ca 0.4790 0.5000 0.0019
3 Mn 0.1059 0.5000 0.4509
4 Mn 0.8156 0.0000 0.4471
5 Co 0.3717 0.0000 0.5547
6 Co 0.6568 0.5000 0.5561

---

Record 3
Below is a relaxed PmAg7F12 crystal, with properties calculated at the GGA-PBE level.

Results
* crystal system: cubic
* space group: No. 204
* E_form (uncorrected): -1582 meV/atom
* N(E_F): 0.606 states/eV/atom

a = 7.4259 Å, b = 7.4259 Å, c = 7.4259 Å
α = 109.47°, β = 109.47°, γ = 109.47°
Fractional positions:
1 Pm 0.0000 0.0000 0.0000
2 Ag 0.0000 0.0000 0.5000
3 Ag 0.0000 0.5000 0.0000
4 Ag 0.0000 0.5000 0.5000
5 Ag 0.5000 0.0000 0.0000
6 Ag 0.5000 0.0000 0.5000
7 Ag 0.5000 0.5000 0.0000
8 Ag 0.5000 0.5000 0.5000
9 F 0.1108 0.2643 0.8466
10 F 0.1534 0.4177 0.2643
11 F 0.1534 0.8892 0.7357
12 F 0.2643 0.1534 0.4177
13 F 0.2643 0.8466 0.1108
14 F 0.4177 0.2643 0.1534
15 F 0.5823 0.7357 0.8466
16 F 0.7357 0.1534 0.8892
17 F 0.7357 0.8466 0.5823
18 F 0.8466 0.1108 0.2643
19 F 0.8466 0.5823 0.7357
20 F 0.8892 0.7357 0.1534

---

Record 4
Below is a relaxed Fe2MoN2 crystal, with properties calculated at the GGA-PBE level.

Results
* crystal system: tetragonal
* space group: No. 127
* E_form (uncorrected): 1056 meV/atom
* N(E_F): 0.800 states/eV/atom

a = 6.2341 Å, b = 6.2341 Å, c = 2.5452 Å
α = 90.00°, β = 90.00°, γ = 90.00°
Fractional positions:
1 Fe 0.1279 0.3721 0.0000
2 Fe 0.3721 0.8721 0.0000
3 Fe 0.6279 0.1279 0.0000
4 Fe 0.8721 0.6279 0.0000
5 Mo 0.0000 0.0000 0.0000
6 Mo 0.5000 0.5000 0.0000
7 N 0.1306 0.6306 0.5000
8 N 0.3694 0.1306 0.5000
9 N 0.6306 0.8694 0.5000
10 N 0.8694 0.3694 0.5000

---

Record 5
Below is a relaxed SrTl6In5 crystal, with properties calculated at the GGA-PBE level.

Results
* crystal system: monoclinic
* space group: No. 12
* N(E_F): 0.476 states/eV/atom

a = 7.9625 Å, b = 7.9625 Å, c = 5.8445 Å
α = 100.66°, β = 100.66°, γ = 84.09°
Fractional positions:
1 Sr 0.0000 0.0000 0.0000
2 Tl 0.0843 0.4223 0.2499
3 Tl 0.2432 0.2432 0.7341
4 Tl 0.4223 0.0843 0.2499
5 Tl 0.5777 0.9157 0.7501
6 Tl 0.7568 0.7568 0.2659
7 Tl 0.9157 0.5777 0.7501
8 In 0.1947 0.8053 0.5000
9 In 0.3459 0.6541 0.0000
10 In 0.5000 0.5000 0.5000
11 In 0.6541 0.3459 0.0000
12 In 0.8053 0.1947 0.5000

---

Record 6
Below is a relaxed ReSn2BiB crystal, with properties calculated at the GGA-PBE level.

Results
* crystal system: tetragonal
* space group: No. 123
* N(E_F): 0.987 states/eV/atom

a = 5.1759 Å, b = 5.1759 Å, c = 5.3217 Å
α = 90.00°, β = 90.00°, γ = 90.00°
Fractional positions:
1 Re 0.0000 0.0000 0.0000
2 Sn 0.0000 0.5000 0.0000
3 Sn 0.5000 0.0000 0.0000
4 Bi 0.0000 0.0000 0.5000
5 B 0.5000 0.5000 0.5000

---

Record 7
Below is a relaxed Li2LaCu crystal, with properties calculated at the GGA-PBE level.

Results
* crystal system: tetragonal
* space group: No. 123
* relative energy among the computed polymorphs: 0.111 eV/atom
* N(E_F): 0.799 states/eV/atom

a = 4.1193 Å, b = 4.1193 Å, c = 5.4076 Å
α = 90.00°, β = 90.00°, γ = 90.00°
Fractional positions:
1 Li 0.0000 0.5000 0.0000
2 Li 0.5000 0.0000 0.0000
3 La 0.0000 0.0000 0.5000
4 Cu 0.5000 0.5000 0.5000

---

Record 8
Below is a relaxed DyThAgPb crystal, with properties calculated at the GGA-PBE level.

Results
* crystal system: cubic
* space group: No. 216
* N(E_F): 1.028 states/eV/atom

a = 5.3662 Å, b = 5.3662 Å, c = 5.3662 Å
α = 60.00°, β = 60.00°, γ = 60.00°
Fractional positions:
1 Dy 0.0000 0.0000 0.0000
2 Th 0.5000 0.5000 0.5000
3 Ag 0.7500 0.7500 0.7500
4 Pb 0.2500 0.2500 0.2500

---

| no. | raw total energy (eV for the cell shown) | magnetization (μB/atom) | volume (Å³/atom) |
| --- | --- | --- | --- |
| 1 | -20.42 | 0.783 | 19.01 |
| 2 | -35.00 | 1.324 | 18.15 |
| 3 | -78.80 | 0.001 | 15.76 |
| 4 | -78.26 | 0.000 | 9.89 |
| 5 | -30.39 | 0.000 | 29.75 |
| 6 | -24.16 | 0.164 | 28.51 |
| 7 | -12.51 | 0.000 | 22.94 |
| 8 | -19.50 | 0.000 | 27.32 |